# LaCrSeO2 | the Alexandria database | PBE with a Hubbard U | optimized geometry
# Relative energy among the computed polymorphs ... 0 meV per atom
# Uncorrected energy ... -7.21 eV/atom
data_LaCrSeO2
_chemical_formula_sum 'La4 Cr4 Se4 O8'
_cell_length_a 5.510
_cell_length_b 12.362
_cell_length_c 5.463
_cell_angle_alpha 90.00
_cell_angle_beta 90.00
_cell_angle_gamma 90.00
_symmetry_space_group_name_H-M 'C m c m'
_symmetry_Int_Tables_number 63
_symmetry_space_group_name_Hall '-C 2c 2'
loop_
_atom_site_label
_atom_site_fract_x
_atom_site_fract_y
_atom_site_fract_z
_atom_site_occupancy
La1 0.000 0.118 0.250 1
Cr1 0.000 0.460 0.250 1
Se1 0.000 0.251 0.750 1
O1 0.242 0.500 0.000 1